Entry from Alexandria: crystalline AcCd2SnPt4 at its relaxed geometry (PBE).

The density of states at the Fermi level is 3.42 states/eV/f.u. As for the calculated density: 13.27 g cm⁻³. The value obtained for the total energy is -115.47 eV for the cell shown. The energy of formation from the pure elements is -548 meV/atom.

It has space group R-3m (No. 166, hexagonal axes), with a = 4.6251 Å, b = 4.6251 Å, c = 27.3634 Å, α = 90.00°, β = 90.00° and γ = 120.00°. The distinct sites, in fractional coordinates, are Ac at (0.0000, 0.0000, 0.0000), Cd at (0.0000, 0.0000, 0.2435), Sn at (0.0000, 0.0000, 0.5000), Pt at (0.0000, 0.0000, 0.1340) and Pt at (0.0000, 0.0000, 0.4007).

=====

Entry from Alexandria: crystalline NdDyGaPd at its relaxed geometry (PBE).

The density of states at the Fermi level is 3.65 states/eV/f.u. As for the calculated density: 8.49 g cm⁻³. The value obtained for the total energy is -80.66 eV for the cell shown. The energy of formation from the pure elements is -644 meV/atom.

It has space group F-43m (No. 216), with a = 7.229 Å, b = 7.229 Å, c = 7.229 Å, α = 90.00°, β = 90.00° and γ = 90.00°. The distinct sites, in fractional coordinates, are Nd at (0.000, 0.000, 0.000), Dy at (0.000, 0.000, 0.500), Ga at (0.250, 0.250, 0.750) and Pd at (0.250, 0.250, 0.250).

=====

Entry from Alexandria: crystalline AlTc3Bi at its relaxed geometry (PBE).

The density of states at the Fermi level is 6.80 states/eV/f.u. As for the calculated density: 7.22 g cm⁻³. The value obtained for the total energy is -27.61 eV for the cell shown. The energy of formation from the pure elements is 2223 meV/atom.

It has space group Pm-3m (No. 221), with a = 4.957 Å, b = 4.957 Å, c = 4.957 Å, α = 90.00°, β = 90.00° and γ = 90.00°. The distinct sites, in fractional coordinates, are Al at (0.000, 0.000, 0.000), Tc at (0.000, 0.500, 0.500) and Bi at (0.500, 0.500, 0.500).

=====

Entry from Alexandria: crystalline NpCr2GaS6 at its relaxed geometry (PBE).

The density of states at the Fermi level is 7.80 states/eV/f.u. As for the calculated density: 5.11 g cm⁻³. The value obtained for the total energy is -202.64 eV for the cell shown. The uncorrected formation energy is -0.76 eV/atom.

It has space group R3 (No. 146, hexagonal axes), with a = 6.3103 Å, b = 6.3103 Å, c = 17.0624 Å, α = 90.00°, β = 90.00° and γ = 120.00°. The distinct sites, in fractional coordinates, are Np at (0.0000, 0.0000, 0.0000), Cr at (0.0000, 0.0000, 0.3008), Cr at (0.0000, 0.0000, 0.8031), Ga at (0.0000, 0.0000, 0.4975), S at (0.0102, 0.3599, 0.5589) and S at (0.0186, 0.6240, 0.0650).

=====

Question: What is the formula in the second record?
Answer: NdDyGaPd

=====

Please write out number 4 again, unchanged.
Entry from Alexandria: crystalline NpCr2GaS6 at its relaxed geometry (PBE).

The density of states at the Fermi level is 7.80 states/eV/f.u. As for the calculated density: 5.11 g cm⁻³. The value obtained for the total energy is -202.64 eV for the cell shown. The uncorrected formation energy is -0.76 eV/atom.

It has space group R3 (No. 146, hexagonal axes), with a = 6.3103 Å, b = 6.3103 Å, c = 17.0624 Å, α = 90.00°, β = 90.00° and γ = 120.00°. The distinct sites, in fractional coordinates, are Np at (0.0000, 0.0000, 0.0000), Cr at (0.0000, 0.0000, 0.3008), Cr at (0.0000, 0.0000, 0.8031), Ga at (0.0000, 0.0000, 0.4975), S at (0.0102, 0.3599, 0.5589) and S at (0.0186, 0.6240, 0.0650).

=====

Question: calculated density of number 2 (NdDyGaPd)?
Answer: 8.49 g cm⁻³

=====

Repeat the fourth record exactly.
Entry from Alexandria: crystalline NpCr2GaS6 at its relaxed geometry (PBE).

The density of states at the Fermi level is 7.80 states/eV/f.u. As for the calculated density: 5.11 g cm⁻³. The value obtained for the total energy is -202.64 eV for the cell shown. The uncorrected formation energy is -0.76 eV/atom.

It has space group R3 (No. 146, hexagonal axes), with a = 6.3103 Å, b = 6.3103 Å, c = 17.0624 Å, α = 90.00°, β = 90.00° and γ = 120.00°. The distinct sites, in fractional coordinates, are Np at (0.0000, 0.0000, 0.0000), Cr at (0.0000, 0.0000, 0.3008), Cr at (0.0000, 0.0000, 0.8031), Ga at (0.0000, 0.0000, 0.4975), S at (0.0102, 0.3599, 0.5589) and S at (0.0186, 0.6240, 0.0650).